## Na2TcN3 (PBE-GGA)

Data for a relaxed Na2TcN3 crystal.

Lattice parameters (Å, degrees): 6.3360 6.3360 5.5970 90.00 90.00 61.15
Element x y z (fractional)
Na 0.0044 0.6708 0.5000
Na 0.3292 0.9956 0.5000
Na 0.6708 0.0044 0.0000
Na 0.9956 0.3292 0.0000
Tc 0.3473 0.6527 0.0174
Tc 0.6527 0.3473 0.5174
N 0.0699 0.6678 0.9456
N 0.3322 0.9301 0.9456
N 0.3966 0.6034 0.3536
N 0.6034 0.3966 0.8536
N 0.6678 0.0699 0.4456
N 0.9301 0.3322 0.4456

SG: Cmc2_1 (36)



## Na3TcN3 (PBE-GGA)

Data for a relaxed Na3TcN3 crystal.

Lattice parameters (Å, degrees): 6.2439 6.2439 6.1114 96.22 96.22 114.53
Element x y z (fractional)
Na 0.1848 0.8152 0.0000
Na 0.2701 0.7299 0.5000
Na 0.3776 0.3776 0.1439
Na 0.6224 0.6224 0.8561
Na 0.7299 0.2701 0.5000
Na 0.8152 0.1848 0.0000
Tc 0.1746 0.1746 0.6434
Tc 0.8254 0.8254 0.3566
N 0.1047 0.1047 0.3106
N 0.1592 0.4444 0.7583
N 0.4444 0.1592 0.7583
N 0.5556 0.8408 0.2417
N 0.8408 0.5556 0.2417
N 0.8953 0.8953 0.6894

SG: C2/m (12)



## Na5Tc2N5 (PBE-GGA)

Data for a relaxed Na5Tc2N5 crystal.

Lattice parameters (Å, degrees): 5.8952 5.8952 9.2577 105.79 105.79 30.90
Element x y z (fractional)
Na 0.0000 0.0000 0.0000
Na 0.1745 0.1745 0.5803
Na 0.2679 0.2679 0.8684
Na 0.7321 0.7321 0.1316
Na 0.8255 0.8255 0.4197
Tc 0.4747 0.4747 0.6964
Tc 0.5253 0.5253 0.3036
N 0.1384 0.1384 0.2917
N 0.3995 0.3995 0.1365
N 0.5000 0.5000 0.5000
N 0.6005 0.6005 0.8635
N 0.8616 0.8616 0.7083

SG: C2/m (12)



## Na2TcN (PBE-GGA)

Data for a relaxed Na2TcN crystal.

Lattice parameters (Å, degrees): 7.2164 7.2164 7.2164 94.02 94.02 149.28
Element x y z (fractional)
Na 0.3750 0.0450 0.1700
Na 0.7950 0.6250 0.6700
Na 0.8750 0.2050 0.8300
Na 0.9550 0.1250 0.3300
Tc 0.2500 0.7500 0.5000
Tc 0.5000 0.5000 0.0000
N 0.0000 0.0000 0.0000
N 0.7500 0.2500 0.5000

SG: I-42d (122)



## Na5TcN3 (PBE-GGA)

Data for a relaxed Na5TcN3 crystal.

Lattice parameters (Å, degrees): 5.5413 7.5165 9.3975 110.82 101.21 92.66
Element x y z (fractional)
Na 0.0000 0.0000 0.0000
Na 0.0024 0.5793 0.0566
Na 0.0464 0.3111 0.3682
Na 0.4196 0.4227 0.8004
Na 0.4390 0.9406 0.7736
Na 0.5217 0.6763 0.4184
Na 0.5626 0.2864 0.1005
Na 0.5681 0.1621 0.4343
Na 0.9655 0.6101 0.6889
Na 0.9969 0.9113 0.3983
Tc 0.4868 0.8467 0.1164
Tc 0.9061 0.1462 0.7293
N 0.3075 0.7504 0.9161
N 0.3258 0.8403 0.2623
N 0.7448 0.0342 0.1835
N 0.7637 0.2643 0.8898
N 0.8437 0.8889 0.6437
N 0.9984 0.2668 0.6084

SG: P1 (1)



## NaTcN2 (PBE-GGA)

Data for a relaxed NaTcN2 crystal.

Lattice parameters (Å, degrees): 5.8544 5.8544 5.8544 127.78 127.78 76.98
Element x y z (fractional)
Na 0.0000 0.0000 0.0000
Na 0.7500 0.2500 0.5000
Tc 0.2500 0.7500 0.5000
Tc 0.5000 0.5000 0.0000
N 0.2269 0.6250 0.1019
N 0.3750 0.4769 0.6019
N 0.5231 0.1250 0.8981
N 0.8750 0.7731 0.3981

SG: I-42d (122)
Relative energy among the computed polymorphs, eV per atom: 0.000



## NaTcN2 (PBE-GGA)

Data for a relaxed NaTcN2 crystal.

Lattice parameters (Å, degrees): 3.7654 3.7654 3.7654 60.00 60.00 60.00
Element x y z (fractional)
Na 0.0000 0.0000 0.0000
Tc 0.5000 0.5000 0.5000
N 0.2500 0.2500 0.2500
N 0.7500 0.7500 0.7500

SG: Fm-3m (225)
Relative energy among the computed polymorphs, eV per atom: 1.026



## NaTcN2 (PBE-GGA)

Data for a relaxed NaTcN2 crystal.

Lattice parameters (Å, degrees): 6.1502 6.1502 6.1502 27.74 27.74 27.74
Element x y z (fractional)
Na 0.0000 0.0000 0.0000
Tc 0.1698 0.1698 0.1698
N 0.5703 0.5703 0.5703
N 0.7687 0.7687 0.7687

SG: R3m (160)
Relative energy among the computed polymorphs, eV per atom: 0.158



Quick rundown of uncorrected formation energy, same order as above: -0.14; -0.24; -0.10; 0.40; -0.12; -0.12; 0.90; 0.04 eV/atom
Quick rundown of final energy, same order as above: -77.6; -81.9; -70.1; -39.4; -86.1; -57.7; -24.7; -28.2 eV per cell